1.
DFT (PBE) results for La6Ge2I3F after structural relaxation.

Computed properties:
V = 31.02 Å³/atom
ΔE_f (raw) = -1269 meV per atom
SG = C2/m

a b c (Å): 7.409 7.409 8.222
angles (deg): 98.71 98.71 120.06
Fractional positions:
La (0.934, 0.611, 0.801)
La (0.745, 0.745, 0.204)
La (0.066, 0.389, 0.199)
La (0.611, 0.934, 0.801)
La (0.255, 0.255, 0.796)
La (0.389, 0.066, 0.199)
Ge (0.335, 0.665, 0.000)
Ge (0.665, 0.335, 0.000)
I (0.175, 0.825, 0.500)
I (0.825, 0.175, 0.500)
I (0.500, 0.500, 0.500)
F (0.000, 0.000, 0.000)

2.
DFT (PBE) results for GeIN2F after structural relaxation.

Computed properties:
V = 12.69 Å³/atom
ΔE_f (raw) = 656 meV per atom
SG = P4/mmm
Polymorph energy (0 for the lowest one) = 0 meV per atom

a b c (Å): 4.024 4.024 3.919
angles (deg): 90.00 90.00 90.00
Fractional positions:
I (0.500, 0.500, 0.500)
Ge (0.000, 0.000, 0.000)
N (0.000, 0.500, 0.000)
N (0.500, 0.000, 0.000)
F (0.000, 0.000, 0.500)

3.
DFT (PBE) results for GeIN2F after structural relaxation.

Computed properties:
V = 15.41 Å³/atom
ΔE_f (raw) = 1226 meV per atom
SG = P4/mmm
Polymorph energy (0 for the lowest one) = 570 meV per atom

a b c (Å): 4.193 4.193 4.384
angles (deg): 90.00 90.00 90.00
Fractional positions:
I (0.000, 0.000, 0.000)
Ge (0.500, 0.500, 0.500)
N (0.000, 0.500, 0.000)
N (0.500, 0.000, 0.000)
F (0.000, 0.000, 0.500)

4.
DFT (PBE) results for GeIN2F after structural relaxation.

Computed properties:
V = 19.37 Å³/atom
ΔE_f (raw) = 1964 meV per atom
SG = P4/mmm
Polymorph energy (0 for the lowest one) = 1308 meV per atom

a b c (Å): 4.715 4.715 4.356
angles (deg): 90.00 90.00 90.00
Last column: magnetic moment on the atom in μB.
Fractional positions:
I (0.000, 0.000, 0.500)  0.07
Ge (0.500, 0.500, 0.500)  -0.20
N (0.000, 0.500, 0.000)  1.57
N (0.500, 0.000, 0.000)  1.57
F (0.000, 0.000, 0.000)  0.13

5.
DFT (PBE) results for GeIN2F after structural relaxation.

Computed properties:
V = 18.98 Å³/atom
ΔE_f (raw) = 968 meV per atom
SG = P4/mmm
Polymorph energy (0 for the lowest one) = 312 meV per atom

a b c (Å): 3.656 3.656 7.099
angles (deg): 90.00 90.00 90.00
Fractional positions:
I (0.000, 0.000, 0.500)
Ge (0.000, 0.000, 0.000)
N (0.000, 0.500, 0.000)
N (0.500, 0.000, 0.000)
F (0.500, 0.500, 0.500)

6.
DFT (PBE) results for GeI2NF after structural relaxation.

Computed properties:
V = 25.80 Å³/atom
ΔE_f (raw) = 1037 meV per atom
SG = P4/mmm
Polymorph energy (0 for the lowest one) = 554 meV per atom

a b c (Å): 6.041 6.041 3.535
angles (deg): 90.00 90.00 90.00
Last column: magnetic moment on the atom in μB.
Fractional positions:
I (0.000, 0.500, 0.000)  0.04
I (0.500, 0.000, 0.000)  0.04
Ge (0.500, 0.500, 0.500)  -0.01
N (0.000, 0.000, 0.500)  1.37
F (0.000, 0.000, 0.000)  0.05

7.
DFT (PBE) results for GeI2NF after structural relaxation.

Computed properties:
V = 24.61 Å³/atom
ΔE_f (raw) = 483 meV per atom
SG = P4/mmm
Polymorph energy (0 for the lowest one) = 0 meV per atom

a b c (Å): 6.064 6.064 3.347
angles (deg): 90.00 90.00 90.00
Fractional positions:
I (0.000, 0.500, 0.000)
I (0.500, 0.000, 0.000)
Ge (0.000, 0.000, 0.000)
N (0.000, 0.000, 0.500)
F (0.500, 0.500, 0.500)

8.
DFT (PBE) results for NaGeI2F after structural relaxation.

Computed properties:
V = 30.57 Å³/atom
ΔE_f (raw) = -1107 meV per atom
SG = P4/mmm

a b c (Å): 5.979 5.979 4.275
angles (deg): 90.00 90.00 90.00
Fractional positions:
I (0.000, 0.500, 0.000)
I (0.500, 0.000, 0.000)
Na (0.500, 0.500, 0.500)
Ge (0.000, 0.000, 0.000)
F (0.000, 0.000, 0.500)

9.
DFT (PBE) results for GeI2OF after structural relaxation.

Computed properties:
V = 23.28 Å³/atom
ΔE_f (raw) = -235 meV per atom
SG = P4/mmm
Polymorph energy (0 for the lowest one) = 0 meV per atom

a b c (Å): 5.697 5.697 3.586
angles (deg): 90.00 90.00 90.00
Fractional positions:
I (0.000, 0.500, 0.000)
I (0.500, 0.000, 0.000)
Ge (0.000, 0.000, 0.000)
O (0.000, 0.000, 0.500)
F (0.500, 0.500, 0.500)

10.
DFT (PBE) results for GeI2OF after structural relaxation.

Computed properties:
V = 21.62 Å³/atom
ΔE_f (raw) = 544 meV per atom
SG = P4/mmm
Polymorph energy (0 for the lowest one) = 779 meV per atom

a b c (Å): 5.206 5.206 3.988
angles (deg): 90.00 90.00 90.00
Fractional positions:
I (0.000, 0.500, 0.000)
I (0.500, 0.000, 0.000)
Ge (0.500, 0.500, 0.500)
O (0.000, 0.000, 0.500)
F (0.000, 0.000, 0.000)

11.
DFT (PBE) results for Rb2GeI6F after structural relaxation.

Computed properties:
V = 38.79 Å³/atom
ΔE_f (raw) = -758 meV per atom
SG = I4/mmm

a b c (Å): 7.663 7.663 8.543
angles (deg): 63.35 63.35 90.00
Fractional positions:
I (0.221, 0.221, 0.558)
I (0.779, 0.779, 0.442)
I (0.254, 0.254, 0.000)
I (0.746, 0.746, 0.000)
I (0.746, 0.254, 0.000)
I (0.254, 0.746, 0.000)
Ge (0.000, 0.000, 0.000)
Rb (0.750, 0.250, 0.500)
Rb (0.250, 0.750, 0.500)
F (0.500, 0.500, 0.000)

12.
DFT (PBE) results for GeSbI2F after structural relaxation.

Computed properties:
V = 34.06 Å³/atom
ΔE_f (raw) = 182 meV per atom
SG = P4/mmm
Polymorph energy (0 for the lowest one) = 231 meV per atom

a b c (Å): 5.565 5.565 5.499
angles (deg): 90.00 90.00 90.00
Fractional positions:
I (0.000, 0.500, 0.000)
I (0.500, 0.000, 0.000)
Sb (0.000, 0.000, 0.500)
Ge (0.000, 0.000, 0.000)
F (0.500, 0.500, 0.500)

13.
DFT (PBE) results for GeSb2IF after structural relaxation.

Computed properties:
V = 27.13 Å³/atom
ΔE_f (raw) = 60 meV per atom
SG = P4/mmm
Polymorph energy (0 for the lowest one) = 0 meV per atom

a b c (Å): 4.689 4.689 6.169
angles (deg): 90.00 90.00 90.00
Fractional positions:
I (0.000, 0.000, 0.500)
Sb (0.000, 0.500, 0.000)
Sb (0.500, 0.000, 0.000)
Ge (0.500, 0.500, 0.500)
F (0.000, 0.000, 0.000)

14.
DFT (PBE) results for GeSb2IF after structural relaxation.

Computed properties:
V = 32.45 Å³/atom
ΔE_f (raw) = 332 meV per atom
SG = P4/mmm
Polymorph energy (0 for the lowest one) = 272 meV per atom

a b c (Å): 5.387 5.387 5.591
angles (deg): 90.00 90.00 90.00
Fractional positions:
I (0.000, 0.000, 0.500)
Sb (0.000, 0.500, 0.000)
Sb (0.500, 0.000, 0.000)
Ge (0.000, 0.000, 0.000)
F (0.500, 0.500, 0.500)

15.
DFT (PBE) results for GeSbI2F after structural relaxation.

Computed properties:
V = 29.31 Å³/atom
ΔE_f (raw) = -49 meV per atom
SG = P4/mmm
Polymorph energy (0 for the lowest one) = 0 meV per atom

a b c (Å): 5.884 5.884 4.233
angles (deg): 90.00 90.00 90.00
Fractional positions:
I (0.000, 0.500, 0.000)
I (0.500, 0.000, 0.000)
Sb (0.000, 0.000, 0.500)
Ge (0.500, 0.500, 0.500)
F (0.000, 0.000, 0.000)

16.
DFT (PBE) results for ScGeIF2 after structural relaxation.

Computed properties:
V = 23.95 Å³/atom
ΔE_f (raw) = -1054 meV per atom
SG = P4/mmm
Polymorph energy (0 for the lowest one) = 1029 meV per atom

a b c (Å): 4.269 6.569 4.269
angles (deg): 90.00 90.00 90.00
Last column: magnetic moment on the atom in μB.
Fractional positions:
I (0.000, 0.500, 0.000)  -0.01
Sc (0.500, 0.500, 0.500)  0.92
Ge (0.000, 0.000, 0.000)  0.08
F (0.000, 0.000, 0.500)  0.02
F (0.500, 0.000, 0.000)  0.01

17.
DFT (PBE) results for ScGeIF2 after structural relaxation.

Computed properties:
V = 20.59 Å³/atom
ΔE_f (raw) = -2083 meV per atom
SG = P4/mmm
Polymorph energy (0 for the lowest one) = 0 meV per atom

a b c (Å): 4.147 5.986 4.147
angles (deg): 90.00 90.00 90.00
Fractional positions:
I (0.500, 0.500, 0.500)
Sc (0.000, 0.000, 0.000)
Ge (0.000, 0.500, 0.000)
F (0.000, 0.000, 0.500)
F (0.500, 0.000, 0.000)

18.
DFT (PBE) results for Ge2SeIF after structural relaxation.

Computed properties:
V = 31.38 Å³/atom
ΔE_f (raw) = 309 meV per atom
SG = P4/mmm

a b c (Å): 5.287 5.613 5.287
angles (deg): 90.00 90.00 90.00
Fractional positions:
I (0.000, 0.500, 0.000)
Ge (0.000, 0.000, 0.500)
Ge (0.500, 0.000, 0.000)
Se (0.000, 0.000, 0.000)
F (0.500, 0.500, 0.500)

19.
DFT (PBE) results for Sn2GeIF after structural relaxation.

Computed properties:
V = 27.04 Å³/atom
ΔE_f (raw) = -181 meV per atom
SG = P4/mmm

a b c (Å): 4.820 5.820 4.820
angles (deg): 90.00 90.00 90.00
Fractional positions:
I (0.000, 0.500, 0.000)
Ge (0.500, 0.500, 0.500)
Sn (0.000, 0.000, 0.500)
Sn (0.500, 0.000, 0.000)
F (0.000, 0.000, 0.000)

20.
DFT (PBE) results for SrGeIF2 after structural relaxation.

Computed properties:
V = 30.81 Å³/atom
ΔE_f (raw) = -1855 meV per atom
SG = P4/mmm

a b c (Å): 4.591 7.307 4.591
angles (deg): 90.00 90.00 90.00
Last column: magnetic moment on the atom in μB.
Fractional positions:
I (0.000, 0.500, 0.000)  -0.02
Sr (0.000, 0.000, 0.000)  0.00
Ge (0.500, 0.500, 0.500)  0.42
F (0.000, 0.000, 0.500)  0.01
F (0.500, 0.000, 0.000)  0.01